A relaxed Er6C3Se2S crystal. Source: Alexandria via LeMat-Bulk, functional GGA-PBE.

a = 3.7117 Å, b = 7.7367 Å, c = 8.5813 Å
α = 106.26°, β = 102.49°, γ = 90.00°
Last column: nearest neighbours and their distance in Å.
Element x y z (fractional)
Se 0.8331 0.6665 0.6662  6 Er 2.86-2.89
Se 0.1669 0.3335 0.3338  6 Er 2.86-2.89
Er 0.9899 0.2711 0.9798  3 C 2.50-2.54
Er 0.3451 0.3897 0.6902  3 C 2.49-2.51
Er 0.3246 0.9442 0.6493  3 C 2.50-2.55
Er 0.6754 0.0558 0.3507  3 C 2.50-2.55
Er 0.0101 0.7289 0.0202  3 C 2.50-2.54
Er 0.6549 0.6103 0.3098  3 C 2.49-2.51
C 0.5000 0.5000 0.0000  6 Er 2.49-2.54
C 0.8342 0.1654 0.6684  6 Er 2.50-2.55
C 0.1658 0.8346 0.3316  6 Er 2.50-2.55
S 0.5000 0.0000 0.0000  6 Er 2.84

Uncorrected energy = -0.495 Ry/atom
Uncorrected formation energy = -1.225 eV/atom
Density of states at the Fermi level = 0.6 states/eV/cell
V = 19.207 A^3/atom

=====

A relaxed AcNd2Sm4Ho crystal. Source: Alexandria via LeMat-Bulk, functional GGA-PBE.

a = 6.0867 Å, b = 6.0772 Å, c = 9.7043 Å
α = 51.25°, β = 90.00°, γ = 90.00°
Last column: nearest neighbours and their distance in Å.
Element x y z (fractional)
Sm 0.5000 0.7368 0.2631  4 Nd 3.53-3.64, 2 Ho 3.53, 1 Sm 3.59, 2 Ac 3.63
Sm 0.0000 0.7626 0.7369  2 Ho 3.53, 4 Nd 3.53-3.63, 1 Sm 3.59, 2 Ac 3.64
Sm 0.5000 0.2632 0.7369  4 Nd 3.53-3.64, 2 Ho 3.53, 1 Sm 3.59, 2 Ac 3.63
Sm 0.0000 0.2374 0.2631  2 Ho 3.53, 4 Nd 3.53-3.63, 1 Sm 3.59, 2 Ac 3.64
Ho 0.0000 0.5000 0.5000  8 Sm 3.53, 2 Nd 3.78
Ac 0.5000 0.5000 0.0000  8 Sm 3.63-3.64, 2 Nd 3.78
Nd 0.5000 0.0000 0.5000  8 Sm 3.53, 2 Ac 3.78
Nd 0.0000 0.0000 0.0000  8 Sm 3.63-3.64, 2 Ho 3.78

Uncorrected energy = -0.332 Ry/atom
ΔH_f (0 K) = 0.123 eV per atom
Density of states at the Fermi level = 17.1 states/eV/cell
V = 34.992 A^3/atom

=====

A relaxed HfSb2Pd8 crystal. Source: Alexandria via LeMat-Bulk, functional GGA-PBE.

a = 4.0935 Å, b = 6.5626 Å, c = 7.7660 Å
α = 110.42°, β = 105.28°, γ = 90.00°
Last column: nearest neighbours and their distance in Å.
Element x y z (fractional)
Pd 0.6744 0.9296 0.3489  3 Sb 2.65-2.80, 1 Hf 2.81, 7 Pd 2.85-2.94
Pd 0.3256 0.0704 0.6511  3 Sb 2.65-2.80, 1 Hf 2.81, 7 Pd 2.85-2.94
Pd 0.8551 0.7906 0.7101  3 Sb 2.79-2.99, 6 Pd 2.84-2.90, 2 Hf 2.94
Pd 0.9637 0.2549 0.9274  1 Sb 2.68, 7 Pd 2.77-3.00, 2 Hf 2.82
Pd 0.5900 0.4539 0.1800  2 Sb 2.67, 6 Pd 2.77-2.97, 1 Hf 2.79
Pd 0.4100 0.5461 0.8200  2 Sb 2.67, 6 Pd 2.77-2.97, 1 Hf 2.79
Pd 0.1449 0.2094 0.2899  3 Sb 2.79-2.99, 6 Pd 2.84-2.90, 2 Hf 2.94
Pd 0.0363 0.7451 0.0726  1 Sb 2.68, 7 Pd 2.77-3.00, 2 Hf 2.82
Hf 0.5000 0.0000 0.0000  12 Pd 2.79-2.94
Sb 0.1994 0.6641 0.3987  7 Pd 2.65-2.80
Sb 0.8006 0.3359 0.6013  7 Pd 2.65-2.80

Uncorrected energy = -0.441 Ry/atom
Uncorrected formation energy = -0.564 eV/atom
E above lowest polymorph = 0.004 eV per atom
Density of states at the Fermi level = 3.1 states/eV/cell
V = 17.058 A^3/atom

=====

A relaxed La2ZnTc crystal. Source: Alexandria via LeMat-Bulk, functional GGA-PBE.

a = 8.1245 Å, b = 8.1245 Å, c = 6.5227 Å
α = 51.48°, β = 51.48°, γ = 90.00°
Last column: nearest neighbours and their distance in Å.
Element x y z (fractional)
La 0.0745 0.6250 0.2500  2 Tc 2.71
La 0.8750 0.9255 0.7500  2 Tc 2.71
La 0.3750 0.3245 0.7500  2 Tc 2.71
La 0.6755 0.1250 0.2500  2 Tc 2.71
Tc 0.7500 0.2500 0.5000  4 La 2.71
Tc 0.0000 0.0000 0.0000  4 La 2.71
Zn 0.5000 0.5000 0.0000  2 Tc 3.09, 4 La 3.27
Zn 0.2500 0.7500 0.5000  2 Tc 3.09, 4 La 3.27

Uncorrected energy = -0.380 Ry/atom
ΔH_f (0 K) = 0.208 eV per atom
Density of states at the Fermi level = 9.2 states/eV/cell
V = 25.486 A^3/atom

=====

A relaxed TlTe2WI crystal. Source: Alexandria via LeMat-Bulk, functional GGA-PBE.

a = 5.2907 Å, b = 5.2907 Å, c = 6.0208 Å
α = 90.00°, β = 90.00°, γ = 90.00°
Last column: nearest neighbours and their distance in Å.
Element x y z (fractional)
W 0.0000 0.0000 0.0000  4 Te 2.65
I 0.0000 0.0000 0.5000  2 W 3.01
Te 0.0000 0.5000 0.0000  2 W 2.65
Te 0.5000 0.0000 0.0000  2 W 2.65
Tl 0.5000 0.5000 0.5000  4 I 3.74, 8 Te 4.01

Uncorrected energy = -0.318 Ry/atom
Uncorrected formation energy = 0.309 eV/atom
E above lowest polymorph = 0.000 eV per atom
Density of states at the Fermi level = 6.1 states/eV/cell
V = 33.706 A^3/atom

=====

A relaxed Sm12Y5Th2 crystal. Source: Alexandria via LeMat-Bulk, functional GGA-PBE.

a = 11.7203 Å, b = 10.7535 Å, c = 6.1837 Å
α = 100.94°, β = 90.00°, γ = 123.02°
Last column: nearest neighbours and their distance in Å.
Element x y z (fractional)
Sm 0.1450 0.7938 0.3919  6 Sm 3.36-3.75, 1 Th 3.38, 3 Y 3.43-3.60
Sm 0.8791 0.7581 0.9997  4 Y 3.36-3.57, 4 Sm 3.42-3.75, 2 Th 3.43
Sm 0.4439 0.8879 0.7298  4 Sm 3.49-3.84, 2 Th 3.66, 2 Y 3.72-3.77
Sm 0.9401 0.3947 0.1971  5 Sm 3.36-3.66, 3 Y 3.44-3.71, 1 Th 3.51
Sm 0.4546 0.3947 0.1971  5 Sm 3.36-3.66, 3 Y 3.44-3.71, 1 Th 3.51
Sm 0.1209 0.2419 0.0003  4 Y 3.36-3.57, 4 Sm 3.42-3.75, 2 Th 3.43
Sm 0.5561 0.1121 0.2702  4 Sm 3.49-3.84, 2 Th 3.66, 2 Y 3.72-3.77
Sm 0.8550 0.2062 0.6081  6 Sm 3.36-3.75, 1 Th 3.38, 3 Y 3.43-3.60
Sm 0.3512 0.2062 0.6081  6 Sm 3.36-3.75, 1 Th 3.38, 3 Y 3.43-3.60
Sm 0.0599 0.6053 0.8029  5 Sm 3.36-3.66, 3 Y 3.44-3.71, 1 Th 3.51
Sm 0.5454 0.6053 0.8029  5 Sm 3.36-3.66, 3 Y 3.44-3.71, 1 Th 3.51
Sm 0.6488 0.7938 0.3919  6 Sm 3.36-3.75, 1 Th 3.38, 3 Y 3.43-3.60
Th 0.2260 0.0000 0.0000  8 Sm 3.38-3.66
Th 0.7740 0.0000 0.0000  8 Sm 3.38-3.66
Y 0.3239 0.6478 0.1456  9 Sm 3.44-3.84, 2 Y 3.53-3.74
Y 0.0000 0.0000 0.5000  6 Sm 3.36-3.43
Y 0.6761 0.3522 0.8544  9 Sm 3.44-3.84, 2 Y 3.53-3.74
Y 0.2153 0.4307 0.5544  8 Sm 3.44-3.71, 3 Y 3.53-3.82
Y 0.7847 0.5693 0.4456  8 Sm 3.44-3.71, 3 Y 3.53-3.82

Uncorrected energy = -0.392 Ry/atom
ΔH_f (0 K) = 0.124 eV per atom
E above lowest polymorph = 0.000 eV per atom
Density of states at the Fermi level = 29.5 states/eV/cell
V = 33.501 A^3/atom

=====

A relaxed PuHfZr2 crystal. Source: Alexandria via LeMat-Bulk, functional GGA-PBE.

a = 10.3658 Å, b = 5.5495 Å, c = 6.4985 Å
α = 90.00°, β = 90.00°, γ = 90.00°
Last column: nearest neighbours and their distance in Å.
Element x y z (fractional)
Pu 0.4374 0.5997 0.1287  6 Zr 3.16-3.28, 2 Pu 3.19, 4 Hf 3.22-3.28
Pu 0.9374 0.4003 0.8713  6 Zr 3.16-3.28, 2 Pu 3.19, 4 Hf 3.22-3.28
Pu 0.9374 0.9003 0.6287  6 Zr 3.16-3.28, 2 Pu 3.19, 4 Hf 3.22-3.28
Pu 0.4374 0.0997 0.3713  6 Zr 3.16-3.28, 2 Pu 3.19, 4 Hf 3.22-3.28
Zr 0.6849 0.2565 0.6204  6 Zr 3.12-3.25, 3 Hf 3.14-3.20, 3 Pu 3.16-3.28
Zr 0.1849 0.7435 0.3796  6 Zr 3.12-3.25, 3 Hf 3.14-3.20, 3 Pu 3.16-3.28
Zr 0.1849 0.2435 0.1204  6 Zr 3.12-3.25, 3 Hf 3.14-3.20, 3 Pu 3.16-3.28
Zr 0.6900 0.2434 0.1203  6 Zr 3.12-3.25, 3 Hf 3.14-3.20, 3 Pu 3.16-3.28
Zr 0.6849 0.7565 0.8796  6 Zr 3.12-3.25, 3 Hf 3.14-3.20, 3 Pu 3.16-3.28
Zr 0.1900 0.7566 0.8797  6 Zr 3.12-3.25, 3 Hf 3.14-3.20, 3 Pu 3.16-3.28
Zr 0.1900 0.2566 0.6203  6 Zr 3.12-3.25, 3 Hf 3.14-3.20, 3 Pu 3.16-3.28
Zr 0.6900 0.7434 0.3797  6 Zr 3.12-3.25, 3 Hf 3.14-3.20, 3 Pu 3.16-3.28
Hf 0.9374 0.8980 0.1336  6 Zr 3.14-3.20, 2 Hf 3.16, 4 Pu 3.22-3.28
Hf 0.9374 0.3980 0.3664  6 Zr 3.14-3.20, 2 Hf 3.16, 4 Pu 3.22-3.28
Hf 0.4374 0.6020 0.6336  6 Zr 3.14-3.20, 2 Hf 3.16, 4 Pu 3.22-3.28
Hf 0.4374 0.1020 0.8664  6 Zr 3.14-3.20, 2 Hf 3.16, 4 Pu 3.22-3.28

Uncorrected energy = -0.755 Ry/atom
ΔH_f (0 K) = 0.075 eV per atom
E above lowest polymorph = 0.000 eV per atom
Density of states at the Fermi level = 28.5 states/eV/cell
V = 23.364 A^3/atom

=====

A relaxed VReOs4 crystal. Source: Alexandria via LeMat-Bulk, functional GGA-PBE.

a = 4.7464 Å, b = 6.9465 Å, c = 6.7486 Å
α = 112.10°, β = 98.58°, γ = 113.18°
Last column: nearest neighbours and their distance in Å.
Element x y z (fractional)
Os 0.8132 0.4284 0.2675  5 Os 2.57-2.82, 2 Re 2.62-2.76, 2 V 2.68-2.76
Os 0.3615 0.9005 0.6121  7 Os 2.57-2.82, 2 V 2.61-2.66
Os 0.0458 0.1609 0.7326  5 Os 2.57-2.82, 2 Re 2.62-2.76, 2 V 2.68-2.76
Os 0.6385 0.0995 0.3879  7 Os 2.57-2.82, 2 V 2.61-2.66
Os 0.1868 0.5716 0.7325  5 Os 2.57-2.82, 2 Re 2.62-2.76, 2 V 2.68-2.76
Os 0.9542 0.8391 0.2674  5 Os 2.57-2.82, 2 Re 2.62-2.76, 2 V 2.68-2.76
Os 0.7506 0.7116 0.6121  7 Os 2.57-2.82, 2 V 2.61-2.66
Os 0.2494 0.2884 0.3879  7 Os 2.57-2.82, 2 V 2.61-2.66
V 0.7526 0.0026 0.0051  2 V 2.37, 4 Os 2.61-2.66
V 0.2474 0.9974 0.9949  2 V 2.37, 4 Os 2.61-2.66
Re 0.3221 0.5722 0.1443  4 Os 2.62-2.76, 2 Re 2.91
Re 0.6779 0.4278 0.8557  4 Os 2.62-2.76, 2 Re 2.91

Uncorrected energy = -0.796 Ry/atom
ΔH_f (0 K) = 0.244 eV per atom
Density of states at the Fermi level = 8.2 states/eV/cell
V = 14.801 A^3/atom